No. 1
This record from the Alexandria database describes a relaxed Ca2CdGaS crystal. The functional is GGA-PBEsol.

## Properties
Symmetry = P4/mmm (123)
Energy relative to the elements, uncorrected = -520 meV per atom

Cell: 5.029 5.212 5.212 Å, 90.00 90.00 90.00°
Element x y z (fractional)
Ga  0.500  0.500  0.500
Cd  0.500  0.000  0.000
S  0.000  0.000  0.000
Ca  0.000  0.000  0.500
Ca  0.000  0.500  0.000

---

No. 2
This record from the Alexandria database describes a relaxed CoAgRu2 crystal. The functional is GGA-PBEsol.

## Properties
Symmetry = P4/mmm (123)
DFT formation energy = 0.406 eV per atom

Cell: 2.615 2.615 7.750 Å, 90.00 90.00 90.00°
Element x y z (fractional)
Ru  0.000  0.000  0.280
Ag  0.500  0.500  0.000
Ru  0.000  0.000  0.720
Co  0.500  0.500  0.500

---

No. 3
This record from the Alexandria database describes a relaxed LiLaRh3 crystal. The functional is GGA-PBEsol.

## Properties
Symmetry = Pm-3m (221)
DFT formation energy = 0.008 eV per atom

Cell: 4.304 4.304 4.304 Å, 90.00 90.00 90.00°
Element x y z (fractional)
La  0.500  0.500  0.500
Rh  0.000  0.500  0.000
Li  0.000  0.000  0.000
Rh  0.000  0.000  0.500
Rh  0.500  0.000  0.000

---

No. 4
This record from the Alexandria database describes a relaxed Sm3AlC crystal. The functional is GGA-PBEsol.

## Properties
Symmetry = Pm-3m (221)
DFT formation energy = -0.263 eV per atom

Cell: 4.952 4.952 4.952 Å, 90.00 90.00 90.00°
Element x y z (fractional)
Sm  0.000  0.500  0.500
C  0.500  0.500  0.500
Al  0.000  0.000  0.000
Sm  0.500  0.000  0.500
Sm  0.500  0.500  0.000

---

No. 5
This record from the Alexandria database describes a relaxed AlInCo2Ag crystal. The functional is GGA-PBEsol.

## Properties
Symmetry = P4/mmm (123)
DFT formation energy = 1.368 eV per atom

Cell: 4.650 4.650 4.892 Å, 90.00 90.00 90.00°
Element x y z (fractional)
Al  0.500  0.500  0.500
Co  0.000  0.500  0.000
Co  0.500  0.000  0.000
In  0.000  0.000  0.500
Ag  0.000  0.000  0.000

---

No. 6
This record from the Alexandria database describes a relaxed TiFeI2N crystal. The functional is GGA-PBEsol.

## Properties
Symmetry = P4/mmm (123)
Energy relative to the elements, uncorrected = 361 meV per atom

Cell: 3.698 5.533 5.533 Å, 90.00 90.00 90.00°
Element x y z (fractional)
N  0.500  0.000  0.000
Fe  0.500  0.500  0.500
I  0.000  0.000  0.500
Ti  0.000  0.000  0.000
I  0.000  0.500  0.000

---

no.,total energy (eV per atom)
1,-3.1574
2,-7.4420
3,-6.3374
4,-6.0659
5,-3.8037
6,-5.5078